Entry 1:
Compound: Al3Mo
Source: the Alexandria database
Functional: GGA-PBEsol
Structure: relaxed

Cell and atoms, written as extended XYZ:
```
4
Lattice="2.7471 0.0000 0.0000 0.0000 4.7836 -0.0061 -1.3736 -0.5490 4.6630" Properties=species:S:1:pos:R:3 pbc="T T T"
Al 1.3736 2.3918 -0.0031
Al 0.0000 3.3524 2.3982
Al 1.3736 0.8822 2.2587
Mo 0.0000 0.0000 0.0000
```

Computed properties:
volume = 61.27 Å³/cell
calculated total energy = -6.131 eV per atom


Entry 2:
Compound: AlMoN2
Source: the Alexandria database
Functional: GGA-PBEsol
Structure: relaxed

Cell and atoms, written as extended XYZ:
```
4
Lattice="2.9845 0.0000 0.0000 1.4922 2.5846 0.0000 1.4922 0.8615 5.7724" Properties=species:S:1:pos:R:3 pbc="T T T"
Al 2.9845 1.7231 2.8862
N 1.4922 0.8615 3.8991
N 4.4767 2.5846 1.8733
Mo 0.0000 0.0000 0.0000
```

Computed properties:
volume = 44.53 Å³/cell
raw formation energy = -0.313 eV/atom
calculated total energy = -8.541 eV per atom


Question: What is the volume in the first record?
Answer: 61.27 Å³/cell


Question: The highest volume belongs to which entry?
Answer: Al3Mo


What did the first record say?
Compound: Al3Mo
Source: the Alexandria database
Functional: GGA-PBEsol
Structure: relaxed

Cell and atoms, written as extended XYZ:
```
4
Lattice="2.7471 0.0000 0.0000 0.0000 4.7836 -0.0061 -1.3736 -0.5490 4.6630" Properties=species:S:1:pos:R:3 pbc="T T T"
Al 1.3736 2.3918 -0.0031
Al 0.0000 3.3524 2.3982
Al 1.3736 0.8822 2.2587
Mo 0.0000 0.0000 0.0000
```

Computed properties:
volume = 61.27 Å³/cell
calculated total energy = -6.131 eV per atom


Question: volume of number 1 (Al3Mo)?
Answer: 61.27 Å³/cell